(1)
DFT (PBE-GGA) results for an optimized crystal structure of NiN2Cl.

```
4
Lattice="1.547 0.893 5.908 -1.547 0.893 5.908 0.000 -1.786 5.908" Properties=species:S:1:pos:R:3 pbc="T T T"
Ni 0.000 0.000 0.000
N 0.000 0.000 1.729
N 0.000 0.000 15.996
Cl 0.000 0.000 8.862
```

Its energy above the most stable polymorph in this dataset is 977 meV/atom. The calculation puts the uncorrected formation energy at 1.89 eV per atom. For the total magnetization, the calculation gives 0.000 μB/f.u. The calculation puts the raw total energy at -4.18 eV/atom.

---

(2)
DFT (PBE-GGA) results for an optimized crystal structure of Re3PtW.

```
5
Lattice="4.672 0.000 0.000 0.000 4.672 0.000 0.000 0.000 4.672" Properties=species:S:1:pos:R:3 pbc="T T T"
Re 0.000 0.000 2.336
Re 0.000 2.336 0.000
Re 2.336 0.000 0.000
Pt 2.336 2.336 2.336
W 0.000 0.000 0.000
```

Its energy above the most stable polymorph in this dataset is 0 meV/atom. For the calculated formation energy, the calculation gives 2323 meV per atom. For the total magnetization, the calculation gives 0.000 μB/f.u. The calculation puts the raw total energy at -8.94 eV/atom.

---

(3)
DFT (PBE-GGA) results for an optimized crystal structure of YScSeBr2.

```
5
Lattice="5.508 0.000 0.000 0.000 5.508 0.000 0.000 0.000 5.531" Properties=species:S:1:pos:R:3 pbc="T T T"
Y 0.000 0.000 0.000
Sc 2.754 2.754 2.765
Se 0.000 0.000 2.765
Br 0.000 2.754 0.000
Br 2.754 0.000 0.000
```

Its energy above the most stable polymorph in this dataset is 100 meV/atom. The calculation puts the uncorrected formation energy at -0.82 eV per atom. For the total magnetization, the calculation gives 1.834 μB/f.u. The calculation puts the raw total energy at -4.74 eV/atom.

---

(4)
DFT (PBE-GGA) results for an optimized crystal structure of In2FeP.

```
4
Lattice="-1.999 1.999 4.798 1.999 -1.999 4.798 1.999 1.999 -4.798" Properties=species:S:1:pos:R:3 pbc="T T T"
In 0.000 0.000 0.000
In 0.000 1.999 2.399
Fe 0.000 0.000 4.798
P 1.999 0.000 2.399
```

For the calculated formation energy, the calculation gives 460 meV per atom. For the total magnetization, the calculation gives 2.671 μB/f.u. The calculation puts the raw total energy at -4.38 eV/atom.

---

(5)
DFT (PBE-GGA) results for an optimized crystal structure of Sc2Cd2I.

```
10
Lattice="8.398 0.000 0.000 0.000 8.398 0.000 0.000 0.000 3.610" Properties=species:S:1:pos:R:3 pbc="T T T"
Sc 1.463 2.736 0.000
Sc 2.736 6.935 0.000
Sc 5.662 1.463 0.000
Sc 6.935 5.662 0.000
Cd 1.023 5.222 1.805
Cd 3.177 1.023 1.805
Cd 5.222 7.376 1.805
Cd 7.376 3.177 1.805
I 0.000 0.000 1.805
I 4.199 4.199 1.805
```

Its energy above the most stable polymorph in this dataset is 183 meV/atom. The calculation puts the uncorrected formation energy at -0.06 eV per atom. For the total magnetization, the calculation gives 0.000 μB/f.u. The calculation puts the raw total energy at -3.26 eV/atom.

---

(6)
DFT (PBE-GGA) results for an optimized crystal structure of YPb.

```
4
Lattice="3.874 0.000 0.000 -0.014 5.130 0.000 -1.641 -0.831 5.939" Properties=species:S:1:pos:R:3 pbc="T T T"
Y -0.180 1.048 1.522
Y 2.399 3.251 4.417
Pb 0.509 0.688 4.594
Pb 1.710 3.611 1.345
```

For the calculated formation energy, the calculation gives -478 meV per atom. For the total magnetization, the calculation gives 0.000 μB/f.u. The calculation puts the raw total energy at -5.56 eV/atom.